Entry 1:
CaMn2Rh | PBE-GGA | relaxed

Results
Electronic total energy   -6.873 eV per atom
Total moment   0.02 μB per formula unit
Density   5306 kg/m3

abc: 5.787 5.787 5.787
angles: 42.21 42.21 42.21
Fractional positions:
Ca 0.000 0.000 0.000
Mn 0.479 0.479 0.479
Mn 0.806 0.806 0.806
Rh 0.209 0.209 0.209

=====

Entry 2:
Y3AsN | PBE-GGA | relaxed

Results
Formation energy (no corrections)   -5.6 eV/f.u.
Total moment   0.79 μB per formula unit
Density   5126 kg/m3

abc: 6.899 3.921 8.522
angles: 90.00 91.65 90.00
Fractional positions:
Y 0.115 0.250 0.159
Y 0.207 0.250 0.534
Y 0.345 0.750 0.860
Y 0.655 0.250 0.140
Y 0.793 0.750 0.466
Y 0.885 0.750 0.841
As 0.400 0.750 0.274
As 0.600 0.250 0.726
N 0.098 0.750 0.646
N 0.902 0.250 0.354